# 1
# Dy4Cd2InAu

A geometry-optimized Dy4Cd2InAu structure (PBE, Alexandria).

Results
**Magnetization**: 0.000 μB per formula unit
**SG**: R-3m, No. 166
**Energy of formation from the pure elements**: -0.487 eV per atom
**ρ**: 9.67 g/cm³
**Crystal system**: trigonal

Cell lengths 9.056, 9.056, 9.056 Å; angles 33.70, 33.70, 33.70 degrees
Fractional positions:
1 Dy 0.120 0.120 0.120
2 Dy 0.371 0.371 0.371
3 Dy 0.629 0.629 0.629
4 Dy 0.880 0.880 0.880
5 Cd 0.246 0.246 0.246
6 Cd 0.754 0.754 0.754
7 In 0.500 0.500 0.500
8 Au 0.000 0.000 0.000


# 2
# Co2ReHg

A geometry-optimized Co2ReHg structure (PBE, Alexandria).

Results
**Magnetization**: 1.172 μB per formula unit
**SG**: F-43m, No. 216
**Energy of formation from the pure elements**: 0.849 eV per atom
**ρ**: 14.66 g/cm³
**Crystal system**: cubic

Cell lengths 4.324, 4.324, 4.324 Å; angles 60.00, 60.00, 60.00 degrees
Fractional positions:
1 Co 0.000 0.000 0.000
2 Co 0.250 0.250 0.250
3 Re 0.750 0.750 0.750
4 Hg 0.500 0.500 0.500


# 3
# Pm2PrCo6

A geometry-optimized Pm2PrCo6 structure (PBE, Alexandria).

Results
**Magnetization**: 4.598 μB per formula unit
**SG**: P6/mmm, No. 191
**Energy of formation from the pure elements**: -0.081 eV per atom
**ρ**: 7.84 g/cm³
**Crystal system**: hexagonal

Cell lengths 6.747, 6.747, 4.215 Å; angles 90.00, 90.00, 120.00 degrees
Fractional positions:
1 Pm 0.333 0.667 0.000
2 Pm 0.667 0.333 0.000
3 Pr 0.000 0.000 0.000
4 Co 0.000 0.334 0.500
5 Co 0.000 0.666 0.500
6 Co 0.334 0.000 0.500
7 Co 0.334 0.334 0.500
8 Co 0.666 0.000 0.500
9 Co 0.666 0.666 0.500